Density functional theory data (PBE) for crystalline AcSm5Er3 at its relaxed geometry.

Cell lengths 12.1209, 11.7656, 10.2337 Å; angles 90.00, 104.87, 90.00 degrees
Last column: nearest neighbours and their distance in Å.
Space group C2/m (No. 12)
Asymmetric unit:
Ac 0.2300 0.0000 0.2345 x4  3 Er 3.18-3.49, 2 Sm 3.42-3.52
Sm 0.0000 0.2588 0.0000 x4  3 Er 3.05-3.33
Sm 0.0879 0.2526 0.6694 x8  2 Er 3.14-3.42
Sm 0.2400 0.5000 0.4145 x4  4 Er 3.25-3.49, 1 Sm 3.32, 1 Ac 3.52
Sm 0.2485 0.0000 0.9064 x4  1 Sm 3.32, 4 Er 3.35-3.50, 1 Ac 3.42
Er 0.0000 0.0000 0.0000 x2  4 Sm 3.05-3.39, 2 Ac 3.18
Er 0.0000 0.5000 0.5000 x2  6 Sm 3.25-3.42, 2 Er 3.38
Er 0.0014 0.0000 0.6570 x4  5 Sm 3.14-3.49, 2 Er 3.20-3.51, 1 Ac 3.27
Er 0.0012 0.5000 0.8310 x4  7 Sm 3.33-3.63, 2 Er 3.38-3.47, 1 Ac 3.49

Computed properties:
- excess energy over the best structure of this formula in the dataset (meV per atom) = 463
- total energy (eV per atom) = -4.053

Density functional theory data (PBE) for crystalline Ac2Sm5Er6 at its relaxed geometry.

Cell lengths 11.9311, 20.5011, 3.6470 Å; angles 90.00, 90.00, 90.00 degrees
Last column: nearest neighbours and their distance in Å.
Space group Pbam (No. 55)
Asymmetric unit:
Ac 0.1641 0.2232 0.0000 x4  4 Er 3.60-3.99, 6 Sm 3.61-3.97, 2 Ac 3.65
Sm 0.0000 0.5000 0.5000 x2  6 Er 3.28-3.48, 2 Sm 3.65
Sm 0.0963 0.7845 0.5000 x4  5 Er 3.29-3.52, 4 Ac 3.61-3.62, 2 Sm 3.65
Sm 0.2011 0.0528 0.5000 x4  7 Er 3.59-3.78, 3 Sm 3.65-3.73, 2 Ac 3.97
Er 0.0608 0.9261 0.0000 x4  5 Er 3.36-3.67, 6 Sm 3.45-3.64
Er 0.0715 0.6386 0.0000 x4  6 Sm 3.48-3.71, 4 Er 3.57-3.65, 1 Ac 3.60
Er 0.1838 0.3811 0.5000 x4  2 Sm 3.28-3.29, 6 Er 3.57-3.67

Computed properties:
- total energy (eV per atom) = -4.439

Density functional theory data (PBE) for crystalline AcSmEr4 at its relaxed geometry.

Cell lengths 10.6832, 13.3066, 6.6918 Å; angles 90.00, 122.71, 90.00 degrees
Last column: nearest neighbours and their distance in Å.
Space group C2/c (No. 15)
Asymmetric unit:
Ac 0.0000 0.0730 0.2500 x4  3 Sm 3.51-3.70, 8 Er 3.63-3.93, 2 Ac 3.87
Sm 0.0000 0.1910 0.7500 x4  6 Er 3.25-3.58, 1 Ac 3.51
Er 0.1582 0.4231 0.7427 x8  7 Er 3.43-3.78, 2 Sm 3.53-3.71, 1 Ac 3.63
Er 0.1639 0.3162 0.2457 x8  2 Sm 3.25-3.58, 5 Er 3.36-3.62

Computed properties:
- excess energy over the best structure of this formula in the dataset (meV per atom) = 19
- total energy (eV per atom) = -4.449

Density functional theory data (PBE) for crystalline AcSmEr2 at its relaxed geometry.

Cell lengths 3.5764, 3.5764, 38.1063 Å; angles 90.00, 90.00, 120.00 degrees
Last column: nearest neighbours and their distance in Å.
Space group R-3m (No. 166, hexagonal axes)
Asymmetric unit:
Ac 0.0000 0.0000 0.0000 x3  2 Er 3.51, 6 Ac 3.58
Sm 0.0000 0.0000 0.5000 x3  6 Er 3.51, 6 Sm 3.58
Er 0.0000 0.0000 0.0922 x6  3 Sm 3.51, 1 Ac 3.51, 6 Er 3.58

Computed properties:
- excess energy over the best structure of this formula in the dataset (meV per atom) = 142
- total energy (eV per atom) = -4.290

Density functional theory data (PBE) for crystalline AcSm5Er3 at its relaxed geometry.

Cell lengths 15.3035, 10.0275, 9.1009 Å; angles 90.00, 119.67, 90.00 degrees
Last column: nearest neighbours and their distance in Å.
Space group C2/c (No. 15)
Asymmetric unit:
Ac 0.0000 0.0963 0.2500 x4  5 Sm 3.43-3.62, 4 Er 3.68-3.70
Sm 0.0000 0.4379 0.2500 x4  4 Sm 3.28-3.57, 1 Ac 3.43, 2 Er 3.56
Sm 0.1656 0.1053 0.0722 x8  3 Sm 3.26-3.50, 2 Ac 3.43-3.62, 2 Er 3.60-3.64
Sm 0.1765 0.4291 0.1010 x8  5 Sm 3.26-3.57, 1 Er 3.63
Er 0.0842 0.2552 0.6653 x8  2 Er 3.53-3.60, 9 Sm 3.56-3.91, 1 Ac 3.70
Er 0.2500 0.2500 0.5000 x4  2 Er 3.53, 10 Sm 3.67-3.95, 2 Ac 3.68

Computed properties:
- excess energy over the best structure of this formula in the dataset (meV per atom) = 0
- total energy (eV per atom) = -4.516

Density functional theory data (PBE) for crystalline Ac7Sm2Er at its relaxed geometry.

Cell lengths 10.1340, 16.5014, 6.0479 Å; angles 90.00, 90.00, 90.00 degrees
Last column: nearest neighbours and their distance in Å.
Space group Cmmm (No. 65)
Asymmetric unit:
Ac 0.0000 0.0000 0.0000 x2  2 Sm 3.32
Ac 0.0000 0.2597 0.5000 x4  2 Sm 3.17
Ac 0.1849 0.3781 0.0000 x8  2 Sm 3.45-3.46, 2 Ac 3.75-3.77
Sm 0.0000 0.2015 0.0000 x4  7 Ac 3.17-3.46
Er 0.0000 0.5000 0.5000 x2  10 Ac 3.97-4.09

Computed properties:
- total energy (eV per atom) = -3.657

Density functional theory data (PBE) for crystalline Ac6Sm2Er at its relaxed geometry.

Cell lengths 23.3350, 10.5293, 6.2026 Å; angles 90.00, 105.34, 90.00 degrees
Last column: nearest neighbours and their distance in Å.
Space group C2/c (No. 15)
Asymmetric unit:
Ac 0.0827 0.0817 0.3061 x8  5 Ac 3.55-3.93, 1 Sm 3.77, 2 Er 3.90-3.96
Ac 0.0828 0.4182 0.3594 x8  5 Ac 3.55-3.94, 1 Sm 3.77, 2 Er 3.90-3.96
Ac 0.1685 0.2500 0.9186 x8  5 Ac 3.67-3.99, 1 Er 3.79, 6 Sm 3.95-4.06
Sm 0.2500 0.0822 0.5101 x8  3 Sm 3.54-3.55, 4 Ac 3.77-3.95
Er 0.0000 0.2501 0.7500 x4  14 Ac 3.79-4.16

Computed properties:
- total energy (eV per atom) = -4.189

Density functional theory data (PBE) for crystalline Ac3Sm2Er at its relaxed geometry.

Cell lengths 10.8093, 7.5619, 12.5740 Å; angles 90.00, 115.43, 90.00 degrees
Last column: nearest neighbours and their distance in Å.
Space group C2/c (No. 15)
Asymmetric unit:
Ac 0.0000 0.1230 0.2500 x4  2 Er 3.78, 6 Sm 3.79-3.80, 4 Ac 3.80-3.81
Ac 0.1657 0.3741 0.0829 x8  5 Sm 3.78-3.81, 3 Er 3.78-3.81, 4 Ac 3.79-3.81
Sm 0.1681 0.1256 0.5847 x8  8 Ac 3.78-3.81, 2 Er 3.79-3.80, 2 Sm 3.80-3.84
Er 0.0000 0.3766 0.7500 x4  8 Ac 3.78-3.81, 4 Sm 3.79-3.80

Computed properties:
- total energy (eV per atom) = -4.321

- The highest total energy belongs to which entry?
  Ac7Sm2Er

Copy entry 8 word for word.
Density functional theory data (PBE) for crystalline Ac3Sm2Er at its relaxed geometry.

Cell lengths 10.8093, 7.5619, 12.5740 Å; angles 90.00, 115.43, 90.00 degrees
Last column: nearest neighbours and their distance in Å.
Space group C2/c (No. 15)
Asymmetric unit:
Ac 0.0000 0.1230 0.2500 x4  2 Er 3.78, 6 Sm 3.79-3.80, 4 Ac 3.80-3.81
Ac 0.1657 0.3741 0.0829 x8  5 Sm 3.78-3.81, 3 Er 3.78-3.81, 4 Ac 3.79-3.81
Sm 0.1681 0.1256 0.5847 x8  8 Ac 3.78-3.81, 2 Er 3.79-3.80, 2 Sm 3.80-3.84
Er 0.0000 0.3766 0.7500 x4  8 Ac 3.78-3.81, 4 Sm 3.79-3.80

Computed properties:
- total energy (eV per atom) = -4.321

- The lowest total energy belongs to which entry?
  number 5

- Which formula does entry 1 have?
  AcSm5Er3